KFe2F after structural relaxation, computed with PBE+U.

Summary:
Density of states at the Fermi level   2.13 states/eV/cell
Total magnetization   6.6 Bohr magnetons per cell
Energy   -2.939 eV/atom
SG   Fm-3m, No. 225
Calculated density   3.27 g cm⁻³

a b c (Å): 4.957 4.957 4.957
angles (deg): 60.00 60.00 60.00
Last column: magnetic moment on the atom in μB.
Positions (direct):
1 Fe 0.750 0.750 0.750  3.05
2 F 0.000 0.000 0.000  0.06
3 K 0.500 0.500 0.500  0.03
4 Fe 0.250 0.250 0.250  3.05